CdP2O6 | PBE-GGA | relaxed

Output
final energy	-6.57	eV per atom
SG	Pbca (61)

Cell: 6.9896 9.5642 13.6308 Å, 90.00 90.00 90.00°
Fractional positions:
Cd 0.0502 0.0060 0.2043
Cd 0.0502 0.4940 0.7043
Cd 0.4498 0.5060 0.2043
Cd 0.4498 0.9940 0.7043
Cd 0.5502 0.0060 0.2957
Cd 0.5502 0.4940 0.7957
Cd 0.9498 0.5060 0.2957
Cd 0.9498 0.9940 0.7957
P 0.0850 0.6964 0.0960
P 0.0850 0.8036 0.5960
P 0.1847 0.7104 0.8939
P 0.1847 0.7896 0.3939
P 0.3153 0.2104 0.8939
P 0.3153 0.2896 0.3939
P 0.4150 0.1964 0.0960
P 0.4150 0.3036 0.5960
P 0.5850 0.6964 0.4040
P 0.5850 0.8036 0.9040
P 0.6847 0.7104 0.6061
P 0.6847 0.7896 0.1061
P 0.8153 0.2104 0.6061
P 0.8153 0.2896 0.1061
P 0.9150 0.1964 0.4040
P 0.9150 0.3036 0.9040
O 0.0094 0.7057 0.3745
O 0.0094 0.7943 0.8745
O 0.1411 0.5964 0.1769
O 0.1408 0.6532 0.5984
O 0.1408 0.8468 0.0984
O 0.1411 0.9036 0.6769
O 0.1442 0.1809 0.4129
O 0.1442 0.3191 0.9129
O 0.1609 0.6269 0.9960
O 0.1609 0.8731 0.4960
O 0.2461 0.6017 0.8197
O 0.2461 0.8983 0.3197
O 0.2539 0.1017 0.8197
O 0.2539 0.3983 0.3197
O 0.3391 0.1269 0.9960
O 0.3391 0.3731 0.4960
O 0.3558 0.6809 0.4129
O 0.3558 0.8191 0.9129
O 0.3589 0.0964 0.1769
O 0.3592 0.1532 0.5984
O 0.3592 0.3468 0.0984
O 0.3589 0.4036 0.6769
O 0.4906 0.2057 0.3745
O 0.4906 0.2943 0.8745
O 0.5094 0.7057 0.1255
O 0.5094 0.7943 0.6255
O 0.6411 0.5964 0.3231
O 0.6408 0.6532 0.9016
O 0.6408 0.8468 0.4016
O 0.6411 0.9036 0.8231
O 0.6442 0.1809 0.0871
O 0.6442 0.3191 0.5871
O 0.6609 0.6269 0.5040
O 0.6609 0.8731 0.0040
O 0.7461 0.6017 0.6803
O 0.7461 0.8983 0.1803
O 0.7539 0.1017 0.6803
O 0.7539 0.3983 0.1803
O 0.8391 0.1269 0.5040
O 0.8391 0.3731 0.0040
O 0.8558 0.6809 0.0871
O 0.8558 0.8191 0.5871
O 0.8589 0.0964 0.3231
O 0.8592 0.1532 0.9016
O 0.8592 0.3468 0.4016
O 0.8589 0.4036 0.8231
O 0.9906 0.2057 0.1255
O 0.9906 0.2943 0.6255